Density functional theory data (GGA-PBE) for crystalline BaCa2Br at its relaxed geometry.

a = 7.376 Å, b = 7.376 Å, c = 7.376 Å
α = 147.96°, β = 121.91°, γ = 67.90°
Atoms (fractional coordinates):
1 Ca 0.236 0.736 0.500
2 Br 0.768 0.268 0.500
3 Ca 0.949 0.949 0.000
4 Ba 0.547 0.547 0.000

Results
space group	Imm2
formation energy without anion corrections	-557	meV per atom
total magnetic moment	0.0	Bohr magnetons per cell

Density functional theory data (GGA-PBE) for crystalline K2CaAuCl at its relaxed geometry.

a = 7.299 Å, b = 5.514 Å, c = 7.299 Å
α = 90.00°, β = 90.00°, γ = 90.00°
Atoms (fractional coordinates):
1 K 0.500 0.000 0.000
2 Ca 0.000 0.000 0.000
3 K 0.000 0.000 0.500
4 Cl 0.500 0.500 0.500
5 Au 0.000 0.500 0.000

Results
space group	P4/mmm
formation energy without anion corrections	-194	meV per atom
total magnetic moment	0.0	Bohr magnetons per cell

Density functional theory data (GGA-PBE) for crystalline LiZn2Re at its relaxed geometry.

a = 4.285 Å, b = 4.285 Å, c = 4.285 Å
α = 60.00°, β = 60.00°, γ = 60.00°
Site moments in Bohr magnetons follow the coordinates.
Atoms (fractional coordinates):
1 Zn 0.000 0.000 0.000  0.01
2 Re 0.750 0.750 0.750  1.38
3 Li 0.500 0.500 0.500  0.01
4 Zn 0.250 0.250 0.250  -0.02

Results
energy of formation from the pure elements	0.466	eV per atom
space group	F-43m
relative energy among the computed polymorphs	1.91	eV per formula unit
total magnetic moment	1.5	Bohr magnetons per cell